BaRe2Te | Alexandria via LeMat-Bulk | GGA-PBE | relaxed; E_form (uncorrected) = 468 meV/atom; electronic total energy = -7.02 eV/atom; V = 23.2 Å³ per atom
1.0
3.2688 0.0000 0.0000
0.0000 3.2688 0.0000
0.0000 0.0000 8.6993
Ba Re Te
1 2 1
Direct
0.0000 0.0000 0.0000 Ba
0.0000 0.0000 0.4335 Re
0.5000 0.5000 0.2903 Re
0.5000 0.5000 0.6612 Te

Ba2ReTe | Alexandria via LeMat-Bulk | GGA-PBE | relaxed; E_form (uncorrected) = 329 meV/atom; electronic total energy = -4.53 eV/atom; V = 40.1 Å³ per atom
1.0
2.3437 1.3531 8.4327
-2.3437 1.3531 8.4327
0.0000 -2.7063 8.4327
Ba Re Te
2 1 1
Direct
0.2484 0.2484 0.2484 Ba
0.7516 0.7516 0.7516 Ba
0.5000 0.5000 0.5000 Re
0.0000 0.0000 0.0000 Te

BaRe2Te | Alexandria via LeMat-Bulk | GGA-PBE | relaxed; E_form (uncorrected) = 92 meV/atom; electronic total energy = -7.40 eV/atom; V = 26.6 Å³ per atom
1.0
2.1633 1.2490 6.5585
-2.1633 1.2490 6.5585
0.0000 -2.4979 6.5585
Ba Re Te
1 2 1
Direct
0.0000 0.0000 0.0000 Ba
0.2111 0.2111 0.2111 Re
0.5232 0.5232 0.5232 Re
0.7926 0.7926 0.7926 Te

BaZr2ReTe | Alexandria via LeMat-Bulk | GGA-PBE | relaxed; E_form (uncorrected) = 1383 meV/atom; electronic total energy = -5.54 eV/atom; V = 34.6 Å³ per atom
1.0
5.3070 0.0000 0.0000
0.0000 5.3070 0.0000
0.0000 0.0000 6.1413
Ba Zr Re Te
1 2 1 1
Direct
0.0000 0.0000 0.0000 Ba
0.0000 0.5000 0.5000 Zr
0.5000 0.0000 0.5000 Zr
0.5000 0.5000 0.0000 Re
0.0000 0.0000 0.5000 Te

BaTiRe3 | Alexandria via LeMat-Bulk | GGA-PBE | relaxed; E above lowest polymorph = 1965 meV/atom; electronic total energy = -5.79 eV/atom; V = 23.7 Å³ per atom; formation energy from the elements = 3.647 eV/atom
1.0
4.9090 0.0000 0.0000
0.0000 4.9090 0.0000
0.0000 0.0000 4.9090
Ba Ti Re
1 1 3
Direct
0.0000 0.0000 0.0000 Ba
0.5000 0.5000 0.5000 Ti
0.0000 0.0000 0.5000 Re
0.0000 0.5000 0.0000 Re
0.5000 0.0000 0.0000 Re

BaTi2Re | Alexandria via LeMat-Bulk | GGA-PBE | relaxed; electronic total energy = -6.72 eV/atom; V = 19.8 Å³ per atom; formation energy from the elements = 0.815 eV/atom
1.0
0.0000 3.4092 3.4092
3.4092 0.0000 3.4092
3.4092 3.4092 0.0000
Ba Ti Re
1 2 1
Direct
0.0000 0.0000 0.0000 Ba
0.2500 0.2500 0.2500 Ti
0.7500 0.7500 0.7500 Ti
0.5000 0.5000 0.5000 Re

BaTiRe3 | Alexandria via LeMat-Bulk | GGA-PBE | relaxed; E above lowest polymorph = 0 meV/atom; electronic total energy = -7.75 eV/atom; V = 22.4 Å³ per atom; formation energy from the elements = 1.682 eV/atom
1.0
4.8179 0.0000 0.0000
0.0000 4.8179 0.0000
0.0000 0.0000 4.8179
Ba Ti Re
1 1 3
Direct
0.0000 0.0000 0.0000 Ba
0.5000 0.5000 0.5000 Ti
0.0000 0.5000 0.5000 Re
0.5000 0.0000 0.5000 Re
0.5000 0.5000 0.0000 Re

BaTlRe2 | Alexandria via LeMat-Bulk | GGA-PBE | relaxed; E above lowest polymorph = 1155 meV/atom; electronic total energy = -5.70 eV/atom; V = 22.2 Å³ per atom; formation energy from the elements = 1.600 eV/atom
1.0
2.9452 0.0000 0.0000
0.0000 5.3585 0.0000
0.0000 0.0000 5.6234
Ba Tl Re
1 1 2
Direct
0.0000 0.0000 0.0000 Ba
0.5000 0.5000 0.0000 Tl
0.0000 0.5000 0.5000 Re
0.5000 0.0000 0.5000 Re